Crystalline MgGe2Se3 at its relaxed geometry, computed with GGA-PBE.

Calculated values
- Final energy: -49.03 eV per cell
- Magnetization: 0.00 μB per atom

a b c (Å): 3.994 5.620 11.920
angles (deg): 90.00 90.00 90.00
Space group Immm (No. 71)
Unique sites:
Mg 0.000 0.000 0.000 x2
Ge 0.000 0.000 0.335 x4
Se 0.000 0.500 0.000 x2
Se 0.000 0.500 0.339 x4


Crystalline SmTmGa2Ni2 at its relaxed geometry, computed with GGA-PBE.

Calculated values
- Energy of formation from the pure elements: -598 meV/atom
- Magnetization: 0.00 μB per atom

a b c (Å): 4.2837 4.2837 7.1135
angles (deg): 90.00 90.00 120.00
Space group P-3m1 (No. 164)
Unique sites:
Sm 0.0000 0.0000 0.0000 x1
Tm 0.0000 0.0000 0.5000 x1
Ga 0.3333 0.6667 0.2688 x2
Ni 0.3333 0.6667 0.7244 x2


Crystalline ZrCr3Rh at its relaxed geometry, computed with GGA-PBE.

Calculated values
- Energy of formation from the pure elements: 1091 meV/atom
- Magnetization: 1.55 μB per atom
- Energy above the most stable polymorph in this dataset: 0.000 eV per formula unit

a b c (Å): 4.614 4.614 4.614
angles (deg): 90.00 90.00 90.00
Space group Pm-3m (No. 221)
Unique sites:
Zr 0.000 0.000 0.000 x1
Cr 0.000 0.500 0.500 x3
Rh 0.500 0.500 0.500 x1


Crystalline AlSi2Te6 at its relaxed geometry, computed with GGA-PBE.

Calculated values
- Magnetization: 0.00 μB per atom
- Energy above the most stable polymorph in this dataset: 0.105 eV per formula unit

a b c (Å): 13.827 14.751 6.757
angles (deg): 90.00 114.95 90.00
Space group C2/c (No. 15)
Unique sites:
Al 0.000 0.201 0.250 x4
Si 0.214 0.422 0.342 x8
Te 0.092 0.091 0.598 x8
Te 0.135 0.280 0.121 x8
Te 0.150 0.427 0.644 x8


Crystalline PrEuPd4 at its relaxed geometry, computed with GGA-PBE.

Calculated values
- Energy of formation from the pure elements: -730 meV/atom
- Magnetization: 1.18 μB per atom

a b c (Å): 7.837 7.837 7.837
angles (deg): 90.00 90.00 90.00
Space group F-43m (No. 216)
Unique sites:
Pr 0.000 0.000 0.000 x4
Eu 0.250 0.250 0.750 x4
Pd 0.125 0.125 0.375 x16


Crystalline CoNi2Sn8 at its relaxed geometry, computed with GGA-PBE.

Calculated values
- Energy of formation from the pure elements: -47 meV/atom
- Magnetization: 0.00 μB per atom
- Energy above the most stable polymorph in this dataset: 0.000 eV per formula unit

a b c (Å): 5.323 6.648 7.583
angles (deg): 75.44 84.16 71.77
Space group P-1 (No. 2)
Unique sites:
Co 0.000 0.000 0.000 x1
Ni 0.343 0.305 0.397 x2
Sn 0.175 0.266 0.092 x2
Sn 0.183 0.631 0.566 x2
Sn 0.282 0.029 0.702 x2
Sn 0.353 0.669 0.155 x2


Crystalline ZrBeRh at its relaxed geometry, computed with GGA-PBE.

Calculated values
- Energy of formation from the pure elements: 354 meV/atom
- Magnetization: 0.00 μB per atom
- Energy above the most stable polymorph in this dataset: 3.019 eV per formula unit

a b c (Å): 6.073 6.073 6.073
angles (deg): 90.00 90.00 90.00
Space group F-43m (No. 216)
Unique sites:
Zr 0.000 0.000 0.000 x4
Be 0.250 0.250 0.750 x4
Rh 0.250 0.250 0.250 x4


Crystalline AsPRhBr2 at its relaxed geometry, computed with GGA-PBE.

Calculated values
- Magnetization: 0.27 μB per atom
- Energy above the most stable polymorph in this dataset: 1.354 eV per formula unit

a b c (Å): 4.957 4.957 4.881
angles (deg): 90.00 90.00 90.00
Space group P4/mmm (No. 123)
Unique sites:
As 0.000 0.000 0.000 x1
P 0.000 0.000 0.500 x1
Rh 0.500 0.500 0.000 x1
Br 0.000 0.500 0.500 x2


Crystalline HfAs2Rh at its relaxed geometry, computed with GGA-PBE.

Calculated values
- Energy of formation from the pure elements: -368 meV/atom
- Magnetization: 0.00 μB per atom

a b c (Å): 4.192 4.192 17.206
angles (deg): 90.00 90.00 90.00
Space group I-42d (No. 122)
Unique sites:
Hf 0.000 0.000 0.000 x4
As 0.216 0.250 0.625 x8
Rh 0.000 0.000 0.500 x4


Crystalline CaCo2S4 at its relaxed geometry, computed with GGA-PBE.

Calculated values
- Final energy: -299.15 eV per cell
- Magnetization: 0.00 μB per atom

a b c (Å): 10.121 10.121 10.121
angles (deg): 90.00 90.00 90.00
Space group Fd-3m (No. 227, origin choice 2)
Unique sites:
Ca 0.125 0.125 0.125 x8
Co 0.000 0.000 0.500 x16
S 0.024 0.024 0.726 x32


Crystalline MgScCd6 at its relaxed geometry, computed with GGA-PBE.

Calculated values
- Energy of formation from the pure elements: -140 meV/atom
- Magnetization: 0.00 μB per atom

a b c (Å): 4.795 7.076 10.348
angles (deg): 90.00 90.00 90.00
Space group Amm2 (No. 38)
Unique sites:
Mg 0.000 0.000 0.000 x2
Sc 0.500 0.000 0.748 x2
Cd 0.000 0.000 0.560 x2
Cd 0.000 0.221 0.280 x4
Cd 0.500 0.000 0.193 x2
Cd 0.500 0.218 0.471 x4


Crystalline LiNdAl2 at its relaxed geometry, computed with GGA-PBE.

Calculated values
- Energy of formation from the pure elements: -198 meV/atom
- Magnetization: 0.00 μB per atom
- Energy above the most stable polymorph in this dataset: 0.229 eV per formula unit

a b c (Å): 4.345 4.345 4.607
angles (deg): 90.00 90.00 90.00
Space group P4/mmm (No. 123)
Unique sites:
Li 0.000 0.000 0.000 x1
Nd 0.500 0.500 0.000 x1
Al 0.000 0.500 0.500 x2


Which of these has the highest magnetization?
ZrCr3Rh


What is the formula in the twelfth record?
LiNdAl2